# ZnSiMo2 | Alexandria | PBE-GGA | optimized geometry
data_ZnSiMo2
_space_group_name_H-M_alt 'P 1'
_space_group_IT_number 1
_cell_length_a 2.7283
_cell_length_b 2.7283
_cell_length_c 8.2828
_cell_angle_alpha 90.00
_cell_angle_beta 90.00
_cell_angle_gamma 106.09
loop_
_space_group_symop_operation_xyz
'x,y,z'
loop_
_atom_site_label
_atom_site_fract_x
_atom_site_fract_y
_atom_site_fract_z
Mo1 0.0000 0.0000 0.0151
Mo2 0.0000 0.0000 0.4849
Zn1 0.5000 0.5000 0.7500
Si1 0.5000 0.5000 0.2500
# energy above the most stable polymorph in this dataset: 80 meV per atom
# symmetry: Cmmm (65)



# PaOF2 | Alexandria | PBE-GGA | optimized geometry
data_PaOF2
_space_group_name_H-M_alt 'P 1'
_space_group_IT_number 1
_cell_length_a 3.2466
_cell_length_b 3.5865
_cell_length_c 5.1703
_cell_angle_alpha 110.29
_cell_angle_beta 90.00
_cell_angle_gamma 90.00
loop_
_space_group_symop_operation_xyz
'x,y,z'
loop_
_atom_site_label
_atom_site_fract_x
_atom_site_fract_y
_atom_site_fract_z
F1 0.5000 0.1229 0.2458
F2 0.0000 0.5042 0.0085
Pa1 0.0000 0.2875 0.5749
O1 0.5000 0.8147 0.6295
# energy above the most stable polymorph in this dataset: 47 meV per atom
# symmetry: Amm2 (38)



# LaU2Ru3 | Alexandria | PBE-GGA | optimized geometry
data_LaU2Ru3
_space_group_name_H-M_alt 'P 1'
_space_group_IT_number 1
_cell_length_a 6.7388
_cell_length_b 6.3354
_cell_length_c 6.3354
_cell_angle_alpha 100.75
_cell_angle_beta 90.00
_cell_angle_gamma 90.00
loop_
_space_group_symop_operation_xyz
'x,y,z'
loop_
_atom_site_label
_atom_site_fract_x
_atom_site_fract_y
_atom_site_fract_z
La1 0.2500 0.3192 0.3192
La2 0.7500 0.6808 0.6808
Ru1 0.7500 0.1785 0.5150
Ru2 0.2500 0.4850 0.8215
Ru3 0.2500 0.8215 0.4850
Ru4 0.2500 0.9174 0.9174
Ru5 0.7500 0.0826 0.0826
Ru6 0.7500 0.5150 0.1785
U1 0.5000 0.1993 0.8007
U2 0.0000 0.1993 0.8007
U3 0.5000 0.8007 0.1993
U4 0.0000 0.8007 0.1993
# ΔE_f: -0.229 eV per atom
# symmetry: Cmcm (63)



# SrAgN | Alexandria | PBE-GGA | optimized geometry
data_SrAgN
_space_group_name_H-M_alt 'P 1'
_space_group_IT_number 1
_cell_length_a 4.9976
_cell_length_b 5.2347
_cell_length_c 6.5297
_cell_angle_alpha 90.00
_cell_angle_beta 72.13
_cell_angle_gamma 121.59
loop_
_space_group_symop_operation_xyz
'x,y,z'
loop_
_atom_site_label
_atom_site_fract_x
_atom_site_fract_y
_atom_site_fract_z
Ag1 0.8646 0.9875 0.3532
Ag2 0.0598 0.5851 0.3528
Sr1 0.2415 0.2994 0.6832
Sr2 0.6828 0.5199 0.0228
N1 0.8593 0.7310 0.6298
N2 0.0651 0.3340 0.0762
# final energy: -4.32 eV per atom
# symmetry: C2 (5)



# Na2ZnOs | Alexandria | PBE-GGA | optimized geometry
data_Na2ZnOs
_space_group_name_H-M_alt 'P 1'
_space_group_IT_number 1
_cell_length_a 8.0091
_cell_length_b 8.0091
_cell_length_c 6.2170
_cell_angle_alpha 49.90
_cell_angle_beta 49.90
_cell_angle_gamma 90.00
loop_
_space_group_symop_operation_xyz
'x,y,z'
loop_
_atom_site_label
_atom_site_fract_x
_atom_site_fract_y
_atom_site_fract_z
Na1 0.6093 0.1250 0.2500
Na2 0.3750 0.3907 0.7500
Na3 0.8750 0.8593 0.7500
Na4 0.1407 0.6250 0.2500
Os1 0.7500 0.2500 0.5000
Os2 0.0000 0.0000 0.0000
Zn1 0.2500 0.7500 0.5000
Zn2 0.5000 0.5000 0.0000
# ΔE_f: 1.048 eV per atom
# symmetry: I-42d (122)



# Sr3Au2 | Alexandria | PBE-GGA | optimized geometry
data_Sr3Au2
_space_group_name_H-M_alt 'P 1'
_space_group_IT_number 1
_cell_length_a 11.1033
_cell_length_b 11.1033
_cell_length_c 11.1033
_cell_angle_alpha 23.60
_cell_angle_beta 23.60
_cell_angle_gamma 23.60
loop_
_space_group_symop_operation_xyz
'x,y,z'
loop_
_atom_site_label
_atom_site_fract_x
_atom_site_fract_y
_atom_site_fract_z
Au1 0.3914 0.3914 0.3914
Au2 0.6086 0.6086 0.6086
Sr1 0.7770 0.7770 0.7770
Sr2 0.2230 0.2230 0.2230
Sr3 0.0000 0.0000 0.0000
# ΔE_f: -0.590 eV per atom
# energy above the most stable polymorph in this dataset: 86 meV per atom
# symmetry: R-3m (166)



# RbNa2UCl6 | Alexandria | PBE-GGA | optimized geometry
data_RbNa2UCl6
_space_group_name_H-M_alt 'P 1'
_space_group_IT_number 1
_cell_length_a 7.3630
_cell_length_b 7.3632
_cell_length_c 7.8896
_cell_angle_alpha 62.18
_cell_angle_beta 62.18
_cell_angle_gamma 59.99
loop_
_space_group_symop_operation_xyz
'x,y,z'
loop_
_atom_site_label
_atom_site_fract_x
_atom_site_fract_y
_atom_site_fract_z
Rb1 0.8006 0.8006 0.5983
Cl1 0.7239 0.1728 0.7571
Cl2 0.9278 0.5930 0.2320
Cl3 0.5930 0.2473 0.2319
Cl4 0.3462 0.7239 0.7572
Cl5 0.2473 0.9278 0.2320
Cl6 0.1727 0.3462 0.7572
Na1 0.0070 0.0069 0.9790
Na2 0.5208 0.5207 0.4377
U1 0.3224 0.3224 0.0329
# final energy: -4.38 eV per atom
# symmetry: R3 (146)



# La4Pr2Zn | Alexandria | PBE-GGA | optimized geometry
data_La4Pr2Zn
_space_group_name_H-M_alt 'P 1'
_space_group_IT_number 1
_cell_length_a 3.8179
_cell_length_b 6.1941
_cell_length_c 11.2053
_cell_angle_alpha 108.63
_cell_angle_beta 99.81
_cell_angle_gamma 90.00
loop_
_space_group_symop_operation_xyz
'x,y,z'
loop_
_atom_site_label
_atom_site_fract_x
_atom_site_fract_y
_atom_site_fract_z
La1 0.0903 0.6924 0.1807
La2 0.3864 0.7839 0.7727
La3 0.6136 0.2161 0.2273
La4 0.9097 0.3076 0.8193
Zn1 0.0000 0.0000 0.0000
Pr1 0.2592 0.2549 0.5184
Pr2 0.7408 0.7451 0.4816
# ΔE_f: 0.030 eV per atom
# symmetry: C2/m (12)